Below is a relaxed structure of Na2AlCoF6, with properties calculated at the PBE+U level.

Final energy in eV/atom: -4.9478
DOS(E_F) in states/eV/cell: 7.65

Geometry as CIF:
```
data_Na2AlCoF6
_symmetry_space_group_name_H-M 'P m m n'
_symmetry_Int_Tables_number 59
_cell_length_a 5.431
_cell_length_b 7.998
_cell_length_c 5.888
_cell_angle_alpha 90.00
_cell_angle_beta 90.00
_cell_angle_gamma 90.00
loop_
_symmetry_equiv_pos_as_xyz
'x,y,z'
'-x,-y,-z'
'-x+1/2,-y+1/2,z'
'x+1/2,y+1/2,-z'
'x+1/2,-y,-z'
'-x+1/2,y,z'
'-x,y+1/2,-z'
'x,-y+1/2,z'
loop_
_atom_site_label
_atom_site_fract_x
_atom_site_fract_y
_atom_site_fract_z
Na1 0.250 0.026 0.204
Al1 0.250 0.750 0.771
Co1 0.250 0.250 0.722
F1 0.007 0.750 0.562
F2 0.013 0.750 0.993
F3 0.250 0.522 0.783
```